Density functional theory data (GGA-PBE) for a geometry-optimized LiZn2P structure.

```
LiZn2P
1.0
2.785 0.000 0.000
0.000 2.785 0.000
0.000 0.000 7.821
Li Zn P
1 2 1
Cartesian
0.000 0.000 0.000 Li
0.000 0.000 3.769 Zn
1.393 1.393 5.743 Zn
1.393 1.393 1.800 P
```

Computed properties:
As for the symmetry: No. 99. For the formation energy, the calculation gives -0.01 eV per atom. The density of states at the Fermi level is 1.35 states/eV/f.u. The calculation puts the total magnetization at 0.00 μB per formula unit.